No. 1
A relaxed structure of LaTl3Hg. Source: Alexandria via LeMat-Bulk, functional PBE.

The structure in extended XYZ format:
```
5
Lattice="6.303 0.000 0.000 0.000 6.303 0.000 0.000 0.000 6.303" Properties=species:S:1:pos:R:3 pbc="T T T"
Tl 0.000 3.152 0.000
Tl 3.152 0.000 0.000
Tl 0.000 0.000 3.152
La 0.000 0.000 0.000
Hg 3.152 3.152 3.152
```

- Total magnetization: 0.0 μB/cell
- Space group: Pm-3m
- Formation energy from the elements: 0.512 eV per atom

=====

No. 2
A relaxed structure of BaCaW. Source: Alexandria via LeMat-Bulk, functional PBE.

The structure in extended XYZ format:
```
3
Lattice="5.461 0.000 0.000 2.730 4.729 0.000 2.730 1.576 4.459" Properties=species:S:1:pos:R:3 pbc="T T T"
Ca 5.461 3.153 2.229
Ba 0.000 0.000 0.000
W 8.191 4.729 3.344
```

- Total magnetization: 3.7 μB/cell
- Space group: F-43m
- Formation energy from the elements: 1.484 eV per atom

=====

No. 3
A relaxed structure of RbHg2Bi. Source: Alexandria via LeMat-Bulk, functional PBE.

The structure in extended XYZ format:
```
4
Lattice="5.324 0.000 0.000 2.662 4.610 0.000 2.662 1.537 6.032" Properties=species:S:1:pos:R:3 pbc="T T T"
Hg 7.985 4.610 5.163
Hg 2.662 1.537 0.869
Bi 0.000 0.000 0.000
Rb 5.324 3.074 3.016
```

- Total magnetization: 0.0 μB/cell
- Space group: R-3m
- Formation energy from the elements: -0.191 eV per atom

=====

No. 4
A relaxed structure of HgSeCl2. Source: Alexandria via LeMat-Bulk, functional PBE.

The structure in extended XYZ format:
```
4
Lattice="4.666 0.000 0.000 0.000 4.710 0.000 0.000 0.000 5.109" Properties=species:S:1:pos:R:3 pbc="T T T"
Se 2.333 2.355 3.043
Cl 2.333 2.355 0.891
Cl 0.000 0.000 0.586
Hg 0.000 0.000 3.143
```

- Formation energy (no corrections): -0.079 eV per atom
- Total magnetization: 0.0 μB/cell
- Space group: Pmm2

=====

No. 5
A relaxed structure of NaPmBiPt. Source: Alexandria via LeMat-Bulk, functional PBE.

The structure in extended XYZ format:
```
4
Lattice="5.197 0.000 0.000 2.598 4.501 0.000 2.598 1.500 4.243" Properties=species:S:1:pos:R:3 pbc="T T T"
Pt 2.598 1.500 1.061
Pm 5.197 3.000 2.122
Bi 7.795 4.501 3.182
Na 0.000 0.000 0.000
```

- Total magnetization: 0.0 μB/cell
- Space group: F-43m
- Formation energy from the elements: -0.527 eV per atom

=====

No. 6
A relaxed structure of MgIn2P. Source: Alexandria via LeMat-Bulk, functional PBE.

The structure in extended XYZ format:
```
4
Lattice="6.250 0.590 -0.085 3.033 5.496 0.085 -4.214 -3.696 2.829" Properties=species:S:1:pos:R:3 pbc="T T T"
In 0.460 0.302 0.000
In 3.262 -0.082 1.372
P 1.899 2.532 1.457
Mg 4.089 2.681 0.000
```

- Total magnetization: 0.0 μB/cell
- Space group: Imm2
- Formation energy from the elements: 0.019 eV per atom

=====

No. 7
A relaxed structure of AsPb6. Source: Alexandria via LeMat-Bulk, functional PBE.

The structure in extended XYZ format:
```
7
Lattice="-2.657 -6.514 -2.429 0.715 -0.218 7.405 -4.704 5.453 -1.879" Properties=species:S:1:pos:R:3 pbc="T T T"
Pb -4.677 0.778 -0.772
Pb -4.166 -2.214 -0.910
Pb -1.968 -2.057 3.870
Pb -2.480 0.934 4.007
Pb -2.811 -3.632 1.411
Pb -3.835 2.352 1.686
As 0.000 0.000 0.000
```

- Total magnetization: 2.7 μB/cell
- Space group: Im-3m
- Formation energy from the elements: 0.696 eV per atom

=====

No. 8
A relaxed structure of SrSmPt. Source: Alexandria via LeMat-Bulk, functional PBE.

The structure in extended XYZ format:
```
3
Lattice="6.880 0.000 0.000 0.000 4.262 0.000 0.000 -2.131 3.691" Properties=species:S:1:pos:R:3 pbc="T T T"
Sm 1.525 0.000 2.460
Pt 0.156 0.000 0.000
Sr 5.199 2.131 1.230
```

- Total magnetization: 0.0 μB/cell
- Space group: P3m1
- Formation energy from the elements: -0.677 eV per atom

=====

| no. | density of states at the Fermi level (states/eV/cell) |
| --- | --- |
| 1 | 10.0 |
| 2 | 3.4 |
| 3 | 1.2 |
| 4 | 0.9 |
| 5 | 2.3 |
| 6 | 1.2 |
| 7 | 3.7 |
| 8 | 2.5 |